Entry 1:
# SCAN FeIr5, single point on PBEsol structure
data_FeIr5
_cell_length_a 2.697
_cell_length_b 2.697
_cell_length_c 11.194
_cell_angle_alpha 90.00
_cell_angle_beta 90.00
_cell_angle_gamma 90.00
_space_group_name_H-M_alt 'P 1'
_space_group_IT_number 1
loop_
_space_group_symop_operation_xyz
'x,y,z'
loop_
_atom_site_label
_atom_site_type_symbol
_atom_site_fract_x
_atom_site_fract_y
_atom_site_fract_z
Ir1 Ir 0.000 0.000 0.844
Ir2 Ir 0.000 0.000 0.156
Ir3 Ir 0.500 0.500 0.671
Ir4 Ir 0.500 0.500 0.329
Ir5 Ir 0.000 0.000 0.500
Fe1 Fe 0.500 0.500 0.000
# calculated total energy: -62.320 eV/atom
# energy relative to the elements: -0.0487 eV per atom

---

Entry 2:
# SCAN NiSbN3, single point on PBEsol structure
data_NiSbN3
_cell_length_a 3.984
_cell_length_b 3.984
_cell_length_c 3.984
_cell_angle_alpha 90.00
_cell_angle_beta 90.00
_cell_angle_gamma 90.00
_space_group_name_H-M_alt 'P 1'
_space_group_IT_number 1
loop_
_space_group_symop_operation_xyz
'x,y,z'
loop_
_atom_site_label
_atom_site_type_symbol
_atom_site_fract_x
_atom_site_fract_y
_atom_site_fract_z
Sb1 Sb 0.000 0.000 0.000
N1 N 0.000 0.500 0.000
N2 N 0.000 0.000 0.500
N3 N 0.500 0.000 0.000
Ni1 Ni 0.500 0.500 0.500
# calculated total energy: -14.433 eV/atom
# energy relative to the elements, uncorrected: 1.828 eV per atom